## Ce2Tm3Hg4 (PBE)

Data for Ce2Tm3Hg4 after structural relaxation.

It has space group Cmce (No. 64), with a = 7.0256 Å, b = 17.4877 Å, c = 8.1908 Å, α = 90.00°, β = 90.00° and γ = 90.00°. The asymmetric unit holds Ce at (0.0000, 0.0907, 0.0892), Tm at (0.0000, 0.0000, 0.5000), Tm at (0.2500, 0.2410, 0.7500), Hg at (0.0000, 0.1706, 0.4769) and Hg at (0.2500, 0.0658, 0.7500).

The value obtained for the volume is 1006 Å³ per cell. The value obtained for the spin magnetization is 3.0 μB/f.u. The density of states at the Fermi level is 19.64 states/eV/f.u. The calculation puts the calculated total energy at -3.20 eV per atom. As for the calculated formation energy: -0.259 eV/atom.